# Zr2CoRh | the Alexandria database | GGA-PBE | relaxed
# * calculated volume: 276 Å³ per cell
# * N(E_F): 15.65 states/eV/cell
# * energy relative to the lowest polymorph listed for this composition: 32 meV/atom
# * energy of formation: -0.498 eV per atom
data_Zr2CoRh
_space_group_name_H-M_alt 'F m -3 m'
_space_group_IT_number 225
_space_group_name_Hall '-F 4 2 3'
_cell_length_a 6.5102
_cell_length_b 6.5102
_cell_length_c 6.5102
_cell_angle_alpha 90.00
_cell_angle_beta 90.00
_cell_angle_gamma 90.00
loop_
_atom_site_label
_atom_site_type_symbol
_atom_site_fract_x
_atom_site_fract_y
_atom_site_fract_z
Zr1 Zr 0.2500 0.2500 0.2500
Co1 Co 0.0000 0.0000 0.0000
Rh1 Rh 0.0000 0.0000 0.5000

---

# Pr6Dy3Mg | the Alexandria database | GGA-PBE | relaxed
# * calculated volume: 702 Å³ per cell
# * N(E_F): 26.69 states/eV/cell
# * energy of formation: 0.188 eV per atom
data_Pr6Dy3Mg
_space_group_name_H-M_alt 'P 1 21/c 1'
_space_group_IT_number 14
_cell_length_a 3.6177
_cell_length_b 8.9778
_cell_length_c 21.9108
_cell_angle_alpha 90.00
_cell_angle_beta 99.26
_cell_angle_gamma 90.00
loop_
_space_group_symop_operation_xyz
'x,y,z'
'-x,-y,-z'
'-x,y+1/2,-z+1/2'
'x,-y+1/2,z+1/2'
loop_
_atom_site_label
_atom_site_type_symbol
_atom_site_fract_x
_atom_site_fract_y
_atom_site_fract_z
Pr1 Pr 0.0917 0.2058 0.0911
Pr2 Pr 0.1258 0.6586 0.6254
Pr3 Pr 0.3523 0.5033 0.8508
Dy1 Dy 0.0000 0.0000 0.5000
Dy2 Dy 0.2767 0.6350 0.2756
Mg1 Mg 0.5000 0.0000 0.0000

---

# KLaIr2 | the Alexandria database | GGA-PBE | relaxed
# * calculated volume: 101 Å³ per cell
# * N(E_F): 3.01 states/eV/cell
# * energy relative to the lowest polymorph listed for this composition: 414 meV/atom
# * energy of formation: 0.255 eV per atom
data_KLaIr2
_space_group_name_H-M_alt 'P m m m'
_space_group_IT_number 47
_cell_length_a 3.2252
_cell_length_b 4.1478
_cell_length_c 7.5643
_cell_angle_alpha 90.00
_cell_angle_beta 90.00
_cell_angle_gamma 90.00
loop_
_space_group_symop_operation_xyz
'x,y,z'
'-x,-y,-z'
'-x,-y,z'
'x,y,-z'
'x,-y,-z'
'-x,y,z'
'-x,y,-z'
'x,-y,z'
loop_
_atom_site_label
_atom_site_type_symbol
_atom_site_fract_x
_atom_site_fract_y
_atom_site_fract_z
K1 K 0.0000 0.0000 0.0000
La1 La 0.0000 0.0000 0.5000
Ir1 Ir 0.5000 0.5000 0.3128

---

# NaMg3 | the Alexandria database | GGA-PBE | relaxed
# * calculated volume: 203 Å³ per cell
# * N(E_F): 4.07 states/eV/cell
# * energy of formation: 0.085 eV per atom
data_NaMg3
_space_group_name_H-M_alt 'P 63/m m c'
_space_group_IT_number 194
_space_group_name_Hall '-P 6c 2c'
_cell_length_a 6.6720
_cell_length_b 6.6720
_cell_length_c 5.2612
_cell_angle_alpha 90.00
_cell_angle_beta 90.00
_cell_angle_gamma 120.00
loop_
_atom_site_label
_atom_site_type_symbol
_atom_site_fract_x
_atom_site_fract_y
_atom_site_fract_z
Na1 Na 0.3333 0.6667 0.2500
Mg1 Mg 0.1629 0.3258 0.7500

---

# PPb2S5 | the Alexandria database | GGA-PBE | relaxed
# * calculated volume: 410 Å³ per cell
# * N(E_F): 4.09 states/eV/cell
# * formation energy from raw total energies: -0.150 eV per atom
data_PPb2S5
_space_group_name_H-M_alt 'I 4 m m'
_space_group_IT_number 107
_space_group_name_Hall 'I 4 -2'
_cell_length_a 6.5025
_cell_length_b 6.5025
_cell_length_c 9.7081
_cell_angle_alpha 90.00
_cell_angle_beta 90.00
_cell_angle_gamma 90.00
loop_
_atom_site_label
_atom_site_type_symbol
_atom_site_fract_x
_atom_site_fract_y
_atom_site_fract_z
P1 P 0.0000 0.0000 0.0000
Pb1 Pb 0.0000 0.5000 0.2644
S1 S 0.0000 0.0000 0.2117
S2 S 0.2314 0.2314 0.9474

---

# Y2RhPb2 | the Alexandria database | GGA-PBE | relaxed
# * calculated volume: 255 Å³ per cell
# * N(E_F): 5.11 states/eV/cell
# * energy relative to the lowest polymorph listed for this composition: 0 meV/atom
# * energy of formation: -0.580 eV per atom
data_Y2RhPb2
_space_group_name_H-M_alt 'P -1'
_space_group_IT_number 2
_cell_length_a 4.5230
_cell_length_b 6.0182
_cell_length_c 10.3929
_cell_angle_alpha 81.86
_cell_angle_beta 77.45
_cell_angle_gamma 67.94
loop_
_space_group_symop_operation_xyz
'x,y,z'
'-x,-y,-z'
loop_
_atom_site_label
_atom_site_type_symbol
_atom_site_fract_x
_atom_site_fract_y
_atom_site_fract_z
Y1 Y 0.0037 0.1644 0.3274
Y2 Y 0.1829 0.2654 0.8684
Rh1 Rh 0.2831 0.6160 0.3194
Pb1 Pb 0.3434 0.2635 0.5477
Pb2 Pb 0.4593 0.6963 0.8864

---

# HgHPdPb2 | the Alexandria database | GGA-PBE | relaxed
# * calculated volume: 104 Å³ per cell
# * N(E_F): 2.43 states/eV/cell
# * energy relative to the lowest polymorph listed for this composition: 0 meV/atom
data_HgHPdPb2
_space_group_name_H-M_alt 'P 4/m m m'
_space_group_IT_number 123
_space_group_name_Hall '-P 4 2'
_cell_length_a 5.4237
_cell_length_b 5.4237
_cell_length_c 3.5448
_cell_angle_alpha 90.00
_cell_angle_beta 90.00
_cell_angle_gamma 90.00
loop_
_atom_site_label
_atom_site_type_symbol
_atom_site_fract_x
_atom_site_fract_y
_atom_site_fract_z
Hg1 Hg 0.0000 0.0000 0.0000
H1 H 0.5000 0.5000 0.5000
Pd1 Pd 0.5000 0.5000 0.0000
Pb1 Pb 0.0000 0.5000 0.5000

---

# Rb14Pu2O9 | the Alexandria database | GGA-PBE | relaxed
# * calculated volume: 766 Å³ per cell
# * N(E_F): 16.48 states/eV/cell
# * formation energy from raw total energies: -1.271 eV per atom
data_Rb14Pu2O9
_space_group_name_H-M_alt 'P -3'
_space_group_IT_number 147
_cell_length_a 8.5348
_cell_length_b 8.5348
_cell_length_c 12.1482
_cell_angle_alpha 90.00
_cell_angle_beta 90.00
_cell_angle_gamma 120.00
loop_
_space_group_symop_operation_xyz
'x,y,z'
'-x,-y,-z'
'-y,x-y,z'
'y,-x+y,-z'
'-x+y,-x,z'
'x-y,x,-z'
loop_
_atom_site_label
_atom_site_type_symbol
_atom_site_fract_x
_atom_site_fract_y
_atom_site_fract_z
Rb1 Rb 0.0000 0.0000 0.2438
Rb2 Rb 0.0271 0.3542 0.1028
Rb3 Rb 0.1145 0.3819 0.5947
Pu1 Pu 0.3333 0.6667 0.3166
O1 O 0.0000 0.0000 0.0000
O2 O 0.1321 0.3848 0.3531
O3 O 0.3333 0.6667 0.1463